# RbPb2S (PBE-GGA, relaxed)
# - M_tot: 0.0 Bohr magnetons per cell
# - V: 551.2 Å³ per cell
# - Energy: -3.34 eV per atom
data_RbPb2S
_space_group_name_H-M_alt 'I -4 2 d'
_space_group_IT_number 122
_space_group_name_Hall 'I -4 2bw'
_cell_length_a 5.0144
_cell_length_b 5.0144
_cell_length_c 21.9229
_cell_angle_alpha 90.00
_cell_angle_beta 90.00
_cell_angle_gamma 90.00
loop_
_atom_site_label
_atom_site_type_symbol
_atom_site_fract_x
_atom_site_fract_y
_atom_site_fract_z
Rb1 Rb 0.0000 0.0000 0.0000
Pb1 Pb 0.1690 0.2500 0.6250
S1 S 0.0000 0.0000 0.5000